# CaPWO2 (GGA+U, relaxed)
data_CaPWO2
_chemical_formula_sum 'Ca1 P1 W1 O2'
_cell_length_a 3.986
_cell_length_b 3.986
_cell_length_c 5.038
_cell_angle_alpha 90.00
_cell_angle_beta 90.00
_cell_angle_gamma 90.00
_space_group_name_H-M_alt 'P 4/m m m'
_space_group_IT_number 123
_space_group_name_Hall '-P 4 2'
loop_
_atom_site_label
_atom_site_type_symbol
_atom_site_fract_x
_atom_site_fract_y
_atom_site_fract_z
_atom_site_occupancy
Ca1 Ca 0.000 0.000 0.000 1
P1 P 0.500 0.500 0.000 1
W1 W 0.500 0.500 0.500 1
O1 O 0.000 0.500 0.500 1
# N(E_F) in states/eV per atom: 0.217
# M_tot in μB/cell: 0.868
# Mass density in kg/m3: 5950
# Crystal system: tetragonal
# DFT total energy in eV/atom: -6.34